Density functional theory data (GGA+U) for La3Fe4AgO12 after structural relaxation.

```
data_La3Fe4AgO12
_cell_length_a 5.533
_cell_length_b 7.912
_cell_length_c 5.540
_cell_angle_alpha 90.00
_cell_angle_beta 90.03
_cell_angle_gamma 90.00
_symmetry_space_group_name_H-M 'P 1 m 1'
_symmetry_Int_Tables_number 6
_symmetry_space_group_name_Hall 'P -2y'
loop_
_atom_site_label
_atom_site_fract_x
_atom_site_fract_y
_atom_site_fract_z
La1 0.000 0.000 0.000
La2 0.051 0.500 0.012
La3 0.495 0.000 0.510
Fe1 0.019 0.255 0.505
Fe2 0.526 0.255 0.004
Ag1 0.533 0.500 0.508
O1 0.048 0.000 0.441
O2 0.241 0.218 0.786
O3 0.303 0.291 0.281
O4 0.515 0.000 0.074
O5 0.525 0.500 0.930
O6 0.750 0.196 0.730
O7 0.821 0.268 0.206
O8 0.986 0.500 0.573
```

Calculated values
The value obtained for the total energy is -0.258 Ha/atom.